9
Lattice="3.7675 0.0000 0.0000 1.8838 5.5838 0.0000 1.8838 0.0000 5.5838" Properties=species:S:1:pos:R:3 comment="PBE Ni5Pd4, optimized geometry" energy_ev_per_cell=-49.4 dos_ef_per_ev_cell=14.23 pbc="T T T"
Ni 1.8838 0.0001 1.7951
Ni 3.7675 3.7886 0.0001
Ni 5.6513 5.5837 3.7886
Ni 3.7675 1.7951 5.5837
Ni 0.0000 0.0000 0.0000
Pd 5.6513 3.7929 1.7910
Pd 3.7675 3.7928 3.7929
Pd 3.7675 1.7910 1.7908
Pd 1.8838 1.7908 3.7928

5
Lattice="0.1231 -1.8011 2.0956 0.6178 -2.6513 -0.4896 11.0198 0.7832 1.8512" Properties=species:S:1:pos:R:3 comment="PBE NiPd4, optimized geometry" energy_ev_per_cell=-26.4 dos_ef_per_ev_cell=8.95 e_above_lowest_polymorph_ev_per_atom=0.024 pbc="T T T"
Pd 2.4930 -2.5476 1.3149
Pd 9.2678 -1.1217 2.1423
Pd 4.5045 -0.5881 1.0554
Pd 7.2563 -3.0812 2.4018
Ni 0.0000 0.0000 0.0000

6
Lattice="2.7635 0.0000 0.0000 -1.3818 5.0648 -1.3024 0.0000 -0.2286 6.1147" Properties=species:S:1:pos:R:3 comment="PBE NiPd2, optimized geometry" energy_ev_per_cell=-32.1 dos_ef_per_ev_cell=9.79 pbc="T T T"
Pd 0.0000 0.3063 3.5644
Pd 0.0000 3.2688 3.5035
Pd 0.0000 3.8311 0.3902
Pd 1.3818 1.7288 1.6317
Ni 1.3818 1.8145 5.1681
Ni 0.0000 0.2206 0.0280

12
Lattice="-0.6271 0.8927 -3.4176 -5.0362 -0.6024 0.7668 -0.5707 7.3482 2.0241" Properties=species:S:1:pos:R:3 comment="PBE Ni5Pd, optimized geometry" energy_ev_per_cell=-67.8 dos_ef_per_ev_cell=19.58 pbc="T T T"
Ni -1.5907 7.3728 -0.6067
Ni -1.2367 2.4320 -1.9623
Ni -1.3945 4.8464 -1.3026
Ni -4.9974 5.2065 1.3355
Ni -2.0459 0.6186 -0.4045
Ni -4.8396 2.7921 0.6759
Ni -4.6434 0.2657 -0.0200
Ni -2.2356 3.0614 0.2684
Ni -4.1882 7.0199 -0.2223
Ni -3.9985 4.5771 -0.8951
Pd -3.7629 2.1298 -1.5776
Pd -2.4712 5.5087 0.9509

5
Lattice="4.5141 0.0000 0.0000 0.0000 4.5141 0.0000 0.0000 0.0000 4.5141" Properties=species:S:1:pos:R:3 comment="PBE NiPd4, optimized geometry" energy_ev_per_cell=-22.4 dos_ef_per_ev_cell=8.17 e_above_lowest_polymorph_ev_per_atom=0.828 pbc="T T T"
Pd 2.2570 2.2570 0.0000
Pd 2.2570 0.0000 2.2570
Pd 0.0000 2.2570 2.2570
Pd 0.0000 0.0000 0.0000
Ni 2.2570 2.2570 2.2570

6
Lattice="-2.9372 1.1368 -3.5693 -4.3190 -1.9858 -0.2489 -4.1060 3.1236 1.2289" Properties=species:S:1:pos:R:3 comment="PBE NiPd5, optimized geometry" energy_ev_per_cell=-31.4 dos_ef_per_ev_cell=11.51 pbc="T T T"
Pd -2.4289 -0.2772 -1.2862
Pd -4.8425 -0.5772 -2.5335
Pd -5.2173 2.1698 -2.4063
Pd -8.4089 1.1455 0.9792
Pd -4.7059 0.7651 -0.0983
Ni -7.1210 0.4747 -1.3769

6
Lattice="-1.2487 -3.1017 1.3632 3.1142 -0.4778 1.7655 -3.5504 2.9035 3.3543" Properties=species:S:1:pos:R:3 comment="PBE Ni5Pd, optimized geometry" energy_ev_per_cell=-33.9 dos_ef_per_ev_cell=10.02 pbc="T T T"
Ni -1.3088 1.7496 2.7821
Ni 0.9328 -1.7898 1.5643
Ni 0.8726 0.6761 2.3377
Ni -0.3763 -0.0398 4.3471
Ni -1.3085 -0.6363 2.1359
Pd 0.0000 0.0000 0.0000

3
Lattice="4.1089 -0.0017 0.0015 -2.0559 4.3224 -0.8530 0.0017 -1.0955 2.3598" Properties=species:S:1:pos:R:3 comment="PBE Ni2Pd, optimized geometry" energy_ev_per_cell=-16.4 dos_ef_per_ev_cell=6.11 pbc="T T T"
Ni 0.0001 2.7013 -0.1820
Ni 2.0546 0.5240 1.6904
Pd 0.0000 0.0000 0.0000

no.,total moment (μB per formula unit),DFT formation energy (kcal/mol of atoms)
1,4.9,0.6
2,2.0,0.6
3,1.5,0.9
4,3.8,0.7
5,0.6,19.2
6,2.3,1.3
7,3.5,0.7
8,1.7,2.5